Record 1
Here is MnOsBr after structural relaxation from the Alexandria database. Energies are from PBE.

Output
Total DFT energy (no corrections) = -20.20 eV for the cell shown
M_tot = 3.1 μB per cell
Distance to the lowest polymorph of the same formula = 0.00 eV/f.u.
Formation energy from raw total energies = 0.63 eV/atom
Space group = P3m1 (156)

a = 3.102 Å, b = 3.102 Å, c = 6.116 Å
α = 90.00°, β = 90.00°, γ = 120.00°
Fractional coordinates of all 3 atoms:
Mn  0.000  0.000  0.000
Os  0.333  0.667  0.280
Br  0.667  0.333  0.686

=====

Record 2
Here is MnOsPtBr2 after structural relaxation from the Alexandria database. Energies are from PBE.

Output
Total DFT energy (no corrections) = -22.83 eV for the cell shown
M_tot = 7.6 μB per cell
Formation energy from raw total energies = 1.39 eV/atom
Space group = P4/mmm (123)

a = 4.719 Å, b = 4.719 Å, c = 5.157 Å
α = 90.00°, β = 90.00°, γ = 90.00°
Fractional coordinates of all 5 atoms:
Mn  0.000  0.000  0.000
Os  0.500  0.500  0.500
Pt  0.000  0.000  0.500
Br  0.000  0.500  0.000
Br  0.500  0.000  0.000

=====

Record 3
Here is Rb2MnOsBr6 after structural relaxation from the Alexandria database. Energies are from PBE.

Output
Total DFT energy (no corrections) = -39.49 eV for the cell shown
M_tot = 5.0 μB per cell
Formation energy from raw total energies = -0.71 eV/atom
Space group = Fm-3m (225)

a = 7.446 Å, b = 7.446 Å, c = 7.446 Å
α = 60.00°, β = 60.00°, γ = 60.00°
Fractional coordinates of all 10 atoms:
Rb  0.250  0.250  0.250
Rb  0.750  0.750  0.750
Mn  0.000  0.000  0.000
Os  0.500  0.500  0.500
Br  0.256  0.256  0.744
Br  0.256  0.744  0.256
Br  0.256  0.744  0.744
Br  0.744  0.256  0.256
Br  0.744  0.256  0.744
Br  0.744  0.744  0.256

=====

Record 4
Here is Mn2OsSBr after structural relaxation from the Alexandria database. Energies are from PBE.

Output
Total DFT energy (no corrections) = -29.88 eV for the cell shown
M_tot = 9.3 μB per cell
Formation energy from raw total energies = 1.10 eV/atom
Space group = P4/mmm (123)

a = 5.071 Å, b = 5.071 Å, c = 4.537 Å
α = 90.00°, β = 90.00°, γ = 90.00°
Fractional coordinates of all 5 atoms:
Mn  0.000  0.500  0.000
Mn  0.500  0.000  0.000
Os  0.000  0.000  0.000
S  0.500  0.500  0.500
Br  0.000  0.000  0.500

=====

Record 5
Here is MnOsSe2Br after structural relaxation from the Alexandria database. Energies are from PBE.

Output
Total DFT energy (no corrections) = -25.54 eV for the cell shown
M_tot = 4.8 μB per cell
Distance to the lowest polymorph of the same formula = 0.00 eV/f.u.
Formation energy from raw total energies = 0.70 eV/atom
Space group = P4/mmm (123)

a = 4.842 Å, b = 4.842 Å, c = 5.259 Å
α = 90.00°, β = 90.00°, γ = 90.00°
Fractional coordinates of all 5 atoms:
Mn  0.000  0.000  0.000
Os  0.500  0.500  0.500
Se  0.000  0.500  0.500
Se  0.500  0.000  0.500
Br  0.500  0.500  0.000

=====

Record 6
Here is Mn2VOsBr after structural relaxation from the Alexandria database. Energies are from PBE.

Output
Total DFT energy (no corrections) = -35.25 eV for the cell shown
M_tot = 9.3 μB per cell
Formation energy from raw total energies = 1.02 eV/atom
Space group = P4/mmm (123)

a = 4.957 Å, b = 4.957 Å, c = 4.568 Å
α = 90.00°, β = 90.00°, γ = 90.00°
Fractional coordinates of all 5 atoms:
Mn  0.000  0.500  0.000
Mn  0.500  0.000  0.000
V  0.000  0.000  0.500
Os  0.000  0.000  0.000
Br  0.500  0.500  0.500

=====

Record 7
Here is MnP2Br2 after structural relaxation from the Alexandria database. Energies are from PBE.

Output
Total DFT energy (no corrections) = -21.12 eV for the cell shown
M_tot = 4.8 μB per cell
Distance to the lowest polymorph of the same formula = 2.22 eV/f.u.
Formation energy from raw total energies = 0.44 eV/atom
Space group = I4/mmm (139)

a = 5.490 Å, b = 5.490 Å, c = 5.490 Å
α = 113.17°, β = 113.17°, γ = 102.30°
Fractional coordinates of all 5 atoms:
Mn  0.000  0.000  0.000
P  0.361  0.361  0.000
P  0.639  0.639  0.000
Br  0.250  0.750  0.500
Br  0.750  0.250  0.500

=====

Record 8
Here is MnP2Br2 after structural relaxation from the Alexandria database. Energies are from PBE.

Output
Total DFT energy (no corrections) = -23.34 eV for the cell shown
M_tot = 5.0 μB per cell
Distance to the lowest polymorph of the same formula = 0.00 eV/f.u.
Formation energy from raw total energies = 0.00 eV/atom
Space group = I4/mmm (139)

a = 12.112 Å, b = 12.112 Å, c = 12.112 Å
α = 164.21°, β = 164.21°, γ = 22.41°
Fractional coordinates of all 5 atoms:
Mn  0.000  0.000  0.000
P  0.250  0.750  0.500
P  0.750  0.250  0.500
Br  0.431  0.431  0.000
Br  0.569  0.569  0.000